Record 1
RbLi2ZnI6: relaxed, GGA-PBE.

abc: 11.1007 11.1007 9.1545
angles: 109.40 109.40 93.72
With the nearest neighbours (Å) after each atom.
Element x y z (fractional)
Rb  0.1219  0.8781  0.7500  6 I 3.70-3.78
Rb  0.8781  0.1219  0.2500  6 I 3.70-3.78
Li  0.2491  0.4201  0.9301  4 I 2.76-2.86
Li  0.4201  0.2491  0.4301  4 I 2.76-2.86
Li  0.5799  0.7509  0.5699  4 I 2.76-2.86
Li  0.7509  0.5799  0.0699  4 I 2.76-2.86
Zn  0.1722  0.8278  0.2500  4 I 2.62-2.69
Zn  0.8278  0.1722  0.7500  4 I 2.62-2.69
I  0.0562  0.1980  0.7104  1 Zn 2.69, 1 Li 2.81
I  0.1531  0.6477  0.9683  1 Zn 2.62, 1 Li 2.77
I  0.1980  0.0562  0.2104  1 Zn 2.69, 1 Li 2.81
I  0.3467  0.4100  0.6750  2 Li 2.76-2.86
I  0.3523  0.8469  0.5317  1 Zn 2.62, 1 Li 2.77
I  0.4100  0.3467  0.1750  2 Li 2.76-2.86
I  0.5900  0.6533  0.8250  2 Li 2.76-2.86
I  0.6477  0.1531  0.4683  1 Zn 2.62, 1 Li 2.77
I  0.6533  0.5900  0.3250  2 Li 2.76-2.86
I  0.8020  0.9438  0.7896  1 Zn 2.69, 1 Li 2.81
I  0.8469  0.3523  0.0317  1 Zn 2.62, 1 Li 2.77
I  0.9438  0.8020  0.2896  1 Zn 2.69, 1 Li 2.81

Properties
ΔE_f (raw) in meV per atom: -894

=====

Record 2
YScCdRu: relaxed, GGA-PBE.

abc: 3.3814 3.3814 7.4170
angles: 90.00 90.00 90.00
With the nearest neighbours (Å) after each atom.
Element x y z (fractional)
Y  0.0000  0.0000  0.0000  4 Ru 2.97, 1 Sc 3.20, 4 Cd 3.30
Sc  0.0000  0.0000  0.5690  4 Ru 2.79, 4 Cd 3.08
Cd  0.5000  0.5000  0.3069  4 Sc 3.08, 4 Y 3.30, 1 Ru 3.38, 4 Cd 3.38
Ru  0.5000  0.5000  0.7628  4 Sc 2.79, 4 Y 2.97

Properties
Distance to the lowest polymorph of the same formula in kJ/mol of formula units: 0
N(E_F) in states/eV/f.u.: 3.311
ΔH_f (0 K) in eV/atom: -0.443

=====

Record 3
Y3Te2Se2: relaxed, GGA-PBE.

abc: 4.1512 7.1787 7.3958
angles: 81.56 89.96 73.22
With the nearest neighbours (Å) after each atom.
Element x y z (fractional)
Y  0.0000  0.0000  0.0000  4 Se 2.91, 2 Te 3.03
Y  0.2472  0.5062  0.7556  3 Se 2.91-2.92, 3 Te 3.05-3.07
Y  0.7528  0.4938  0.2444  3 Se 2.91-2.92, 3 Te 3.05-3.07
Te  0.1169  0.7654  0.3813  4 Y 3.03-3.07
Te  0.8831  0.2346  0.6187  4 Y 3.03-3.07
Se  0.3729  0.2542  0.1118  5 Y 2.91-2.92
Se  0.6271  0.7458  0.8882  5 Y 2.91-2.92

Properties
ΔE_f (raw) in meV per atom: -1662
Distance to the lowest polymorph of the same formula in kJ/mol of formula units: 0
N(E_F) in states/eV/f.u.: 2.179

=====

Record 4
NaVTe2: relaxed, GGA-PBE.

abc: 3.4169 3.4169 7.8261
angles: 90.00 90.00 90.00
With the nearest neighbours (Å) after each atom.
Element x y z (fractional)
Na  0.0000  0.0000  0.0000  8 Te 3.35, 4 Na 3.42
V  0.0000  0.0000  0.5000  8 Te 2.90
Te  0.5000  0.5000  0.2958  4 V 2.90, 1 Te 3.20
Te  0.5000  0.5000  0.7042  4 V 2.90, 1 Te 3.20

Properties
ΔE_f (raw) in meV per atom: -267
N(E_F) in states/eV/f.u.: 1.879

=====

Record 5
PuHfTlIn: relaxed, GGA-PBE.

abc: 5.1923 5.1923 5.1923
angles: 60.00 60.00 60.00
With the nearest neighbours (Å) after each atom.
Element x y z (fractional)
Pu  0.0000  0.0000  0.0000  4 In 3.18, 4 Tl 3.18
Hf  0.5000  0.5000  0.5000  4 In 3.18, 4 Tl 3.18
Tl  0.2500  0.2500  0.2500  4 Hf 3.18, 4 Pu 3.18
In  0.7500  0.7500  0.7500  4 Hf 3.18, 4 Pu 3.18

Properties
N(E_F) in states/eV/f.u.: 9.571
ΔH_f (0 K) in eV/atom: 0.074

=====

Record 6
CsSrTi3: relaxed, GGA-PBE.

abc: 5.1784 5.1784 5.1784
angles: 90.00 90.00 90.00
With the nearest neighbours (Å) after each atom.
Element x y z (fractional)
Cs  0.0000  0.0000  0.0000  6 Ti 2.59
Sr  0.5000  0.5000  0.5000  12 Ti 3.66
Ti  0.0000  0.0000  0.5000  2 Cs 2.59
Ti  0.0000  0.5000  0.0000  2 Cs 2.59
Ti  0.5000  0.0000  0.0000  2 Cs 2.59

Properties
Distance to the lowest polymorph of the same formula in kJ/mol of formula units: 0
N(E_F) in states/eV/f.u.: 6.153
ΔH_f (0 K) in eV/atom: 1.714

=====

Record 7
Y3TiB: relaxed, GGA-PBE.

abc: 5.2049 5.2049 5.2049
angles: 90.00 90.00 90.00
With the nearest neighbours (Å) after each atom.
Element x y z (fractional)
Y  0.0000  0.0000  0.5000  2 Ti 2.60
Y  0.0000  0.5000  0.0000  2 Ti 2.60
Y  0.5000  0.0000  0.0000  2 Ti 2.60
Ti  0.0000  0.0000  0.0000  6 Y 2.60
B  0.5000  0.5000  0.5000  12 Y 3.68

Properties
Distance to the lowest polymorph of the same formula in kJ/mol of formula units: 525
N(E_F) in states/eV/f.u.: 5.933
ΔH_f (0 K) in eV/atom: 1.354

=====

Record 8
Ce2NdPdSe5: relaxed, GGA-PBE.

abc: 9.0124 9.0124 12.5331
angles: 90.00 90.00 154.07
With the nearest neighbours (Å) after each atom.
Element x y z (fractional)
Ce  0.1065  0.8935  0.5000  7 Se 2.91-3.19
Ce  0.1200  0.8800  0.8452  8 Se 3.02-3.27
Ce  0.8800  0.1200  0.3452  8 Se 3.02-3.27
Ce  0.8935  0.1065  0.0000  7 Se 2.91-3.19
Nd  0.1732  0.8268  0.1735  6 Se 2.93-3.00, 2 Pd 3.20
Nd  0.8268  0.1732  0.6735  6 Se 2.93-3.00, 2 Pd 3.20
Pd  0.4460  0.5540  0.5673  4 Se 2.48-2.56
Pd  0.5540  0.4460  0.0673  4 Se 2.48-2.56
Se  0.0065  0.9935  0.1703  2 Pd 2.54
Se  0.3061  0.6939  0.8455  2 Nd 2.98, 3 Ce 3.19-3.27
Se  0.3089  0.6911  0.4987  1 Pd 2.56
Se  0.3424  0.6576  0.1693  1 Nd 2.97, 4 Ce 3.06-3.07
Se  0.4960  0.5040  0.8868  1 Pd 2.48
Se  0.5040  0.4960  0.3868  1 Pd 2.48
Se  0.6576  0.3424  0.6693  1 Nd 2.97, 4 Ce 3.06-3.07
Se  0.6911  0.3089  0.9987  1 Pd 2.56
Se  0.6939  0.3061  0.3455  2 Nd 2.98, 3 Ce 3.19-3.27
Se  0.9935  0.0065  0.6703  2 Pd 2.54

Properties
ΔE_f (raw) in meV per atom: -1565
N(E_F) in states/eV/f.u.: 10.872